Entry from Alexandria via LeMat-Bulk: a relaxed structure of CuAgO2F (PBE-GGA).

N(E_F) (states/eV/f.u.): 3.92
Energy relative to the elements, uncorrected (meV/atom): -299
Mass density (Mg/m³): 6.4

Geometry as POSCAR:
```
CuAgO2F
1.0
3.8232 0.0000 0.0000
0.0000 3.8232 0.0000
0.0000 0.0000 3.9649
Cu Ag O F
1 1 2 1
Direct
0.0000 0.0000 0.0000
0.5000 0.5000 0.5000
0.0000 0.5000 0.0000
0.5000 0.0000 0.0000
0.0000 0.0000 0.5000
```

---

Entry from Alexandria via LeMat-Bulk: a relaxed structure of CuAgO2F (PBE-GGA).

N(E_F) (states/eV/f.u.): 8.30
Energy relative to the elements, uncorrected (meV/atom): 260
Mass density (Mg/m³): 5.4

Geometry as POSCAR:
```
CuAgO2F
1.0
4.0409 0.0000 0.0000
0.0000 4.0409 0.0000
0.0000 0.0000 4.1576
Cu Ag O F
1 1 2 1
Direct
0.0000 0.0000 0.0000
0.5000 0.5000 0.5000
0.0000 0.5000 0.5000
0.5000 0.0000 0.5000
0.5000 0.5000 0.0000
```

---

Entry from Alexandria via LeMat-Bulk: a relaxed structure of PaCu2AgF8 (PBE-GGA).

Energy relative to the elements, uncorrected (meV/atom): -2272
Mass density (Mg/m³): 6.0

Geometry as POSCAR:
```
PaCu2AgF8
1.0
2.4130 1.3932 8.4740
-2.4130 1.3932 8.4740
0.0000 -2.7863 8.4740
Pa Cu Ag F
1 2 1 8
Direct
0.0000 0.0000 0.0000
0.2179 0.2179 0.2179
0.7821 0.7821 0.7821
0.5000 0.5000 0.5000
0.0380 0.4055 0.7139
0.1448 0.1448 0.1448
0.2861 0.5945 0.9620
0.4055 0.7139 0.0380
0.5945 0.9620 0.2861
0.7139 0.0380 0.4055
0.8552 0.8552 0.8552
0.9620 0.2861 0.5945
```

---

Entry from Alexandria via LeMat-Bulk: a relaxed structure of CuAgPbF6 (PBE-GGA).

N(E_F) (states/eV/f.u.): 3.48
Energy relative to the elements, uncorrected (meV/atom): -1674
Mass density (Mg/m³): 5.7

Geometry as POSCAR:
```
CuAgPbF6
1.0
5.2175 0.0000 0.0000
0.0000 5.2175 0.0000
0.0000 0.0000 10.4528
Cu Ag Pb F
2 2 2 12
Direct
0.0000 0.0000 0.0000
0.5000 0.5000 0.5000
0.0000 0.0000 0.6621
0.5000 0.5000 0.1621
0.0000 0.0000 0.3361
0.5000 0.5000 0.8361
0.1742 0.1742 0.8546
0.1859 0.1859 0.1366
0.2311 0.2311 0.5029
0.2689 0.7311 0.0029
0.3141 0.6859 0.6366
0.3258 0.6742 0.3546
0.6742 0.3258 0.3546
0.6859 0.3141 0.6366
0.7311 0.2689 0.0029
0.7689 0.7689 0.5029
0.8141 0.8141 0.1366
0.8258 0.8258 0.8546
```

---

Entry from Alexandria via LeMat-Bulk: a relaxed structure of Cu2AgPbF8 (PBE-GGA).

N(E_F) (states/eV/f.u.): 3.61
Energy relative to the elements, uncorrected (meV/atom): -1594
Mass density (Mg/m³): 5.8

Geometry as POSCAR:
```
Cu2AgPbF8
1.0
-2.8442 2.8442 5.2149
2.8442 -2.8442 5.2149
2.8442 2.8442 -5.2149
Cu Ag Pb F
2 1 1 8
Direct
0.0000 0.0000 0.0000
0.7500 0.2500 0.5000
0.5000 0.5000 0.0000
0.2500 0.7500 0.5000
0.0723 0.3966 0.9218
0.1663 0.7294 0.8467
0.2706 0.1174 0.4369
0.4748 0.1505 0.0782
0.6034 0.5252 0.6757
0.6805 0.8337 0.5631
0.8495 0.9277 0.3243
0.8826 0.3195 0.1533
```

---

Entry from Alexandria via LeMat-Bulk: a relaxed structure of CuAgPdF6 (PBE-GGA).

N(E_F) (states/eV/f.u.): 2.23
Energy relative to the elements, uncorrected (meV/atom): -1301
Mass density (Mg/m³): 5.2

Geometry as POSCAR:
```
CuAgPdF6
1.0
4.9983 0.0000 0.0000
0.0000 4.9983 0.0000
0.0000 0.0000 9.9926
Cu Ag Pd F
2 2 2 12
Direct
0.0000 0.0000 0.0000
0.5000 0.5000 0.5000
0.0000 0.0000 0.6712
0.5000 0.5000 0.1712
0.0000 0.0000 0.3404
0.5000 0.5000 0.8404
0.1778 0.1778 0.1761
0.2093 0.2093 0.8582
0.2128 0.2128 0.4833
0.2872 0.7128 0.9833
0.2907 0.7093 0.3582
0.3222 0.6778 0.6761
0.6778 0.3222 0.6761
0.7093 0.2907 0.3582
0.7128 0.2872 0.9833
0.7872 0.7872 0.4833
0.7907 0.7907 0.8582
0.8222 0.8222 0.1761
```

---

Entry from Alexandria via LeMat-Bulk: a relaxed structure of CuAgPdF5 (PBE-GGA).

N(E_F) (states/eV/f.u.): 3.42
Energy relative to the elements, uncorrected (meV/atom): -1182
Mass density (Mg/m³): 5.6

Geometry as POSCAR:
```
CuAgPdF5
1.0
3.0032 -4.9176 0.0000
3.0032 4.9176 0.0000
-2.0282 0.0000 7.5203
Cu Ag Pd F
2 2 2 10
Direct
0.0000 0.0000 0.0000
0.0000 0.0000 0.5000
0.2918 0.7082 0.7500
0.7082 0.2918 0.2500
0.3473 0.6527 0.2500
0.6527 0.3473 0.7500
0.0560 0.9440 0.7500
0.1668 0.7633 0.0596
0.2367 0.8332 0.4404
0.3420 0.3517 0.5859
0.3517 0.3420 0.0859
0.6483 0.6580 0.9141
0.6580 0.6483 0.4141
0.7633 0.1668 0.5596
0.8332 0.2367 0.9404
0.9440 0.0560 0.2500
```

---

Entry from Alexandria via LeMat-Bulk: a relaxed structure of Cu2AgPdF8 (PBE-GGA).

N(E_F) (states/eV/f.u.): 6.65
Energy relative to the elements, uncorrected (meV/atom): -1352
Mass density (Mg/m³): 5.0

Geometry as POSCAR:
```
Cu2AgPdF8
1.0
4.8564 0.0000 0.0000
0.1771 4.8612 0.0000
0.5240 0.4999 6.8940
Cu Ag Pd F
2 1 1 8
Direct
0.0034 0.0035 0.2457
0.9966 0.9965 0.7543
0.5000 0.5000 0.5000
0.5000 0.5000 0.0000
0.1816 0.1787 0.5296
0.2029 0.1998 0.0255
0.2805 0.7054 0.2197
0.2918 0.7162 0.7806
0.7082 0.2838 0.2194
0.7195 0.2946 0.7803
0.7971 0.8002 0.9745
0.8184 0.8213 0.4704
```

---

- Which of these has the highest mass density?
  number 1

---

What did the seventh record say?
Entry from Alexandria via LeMat-Bulk: a relaxed structure of CuAgPdF5 (PBE-GGA).

N(E_F) (states/eV/f.u.): 3.42
Energy relative to the elements, uncorrected (meV/atom): -1182
Mass density (Mg/m³): 5.6

Geometry as POSCAR:
```
CuAgPdF5
1.0
3.0032 -4.9176 0.0000
3.0032 4.9176 0.0000
-2.0282 0.0000 7.5203
Cu Ag Pd F
2 2 2 10
Direct
0.0000 0.0000 0.0000
0.0000 0.0000 0.5000
0.2918 0.7082 0.7500
0.7082 0.2918 0.2500
0.3473 0.6527 0.2500
0.6527 0.3473 0.7500
0.0560 0.9440 0.7500
0.1668 0.7633 0.0596
0.2367 0.8332 0.4404
0.3420 0.3517 0.5859
0.3517 0.3420 0.0859
0.6483 0.6580 0.9141
0.6580 0.6483 0.4141
0.7633 0.1668 0.5596
0.8332 0.2367 0.9404
0.9440 0.0560 0.2500
```

---

- What is the formula in the first record?
  CuAgO2F